Computed, not measured: a PBEsol-optimized structure of Zr2PbBr at the SCAN level of DFT.

a b c (Å): 3.398 3.398 7.268
angles (deg): 90.00 90.00 90.00
Fractional coordinates of all 4 atoms:
Zr1 0.000 0.000 0.241
Pb1 0.500 0.500 0.500
Zr2 0.000 0.000 0.759
Br1 0.500 0.500 0.000

## Properties
- total moment (μB/atom) = 0.00
- formation energy without anion corrections (kJ/mol of atoms) = -32.0
- crystal system = tetragonal
- total DFT energy (no corrections) (eV per formula unit) = -157.96

Computed, not measured: a PBEsol-optimized structure of Cd3FeAg at the SCAN level of DFT.

a b c (Å): 5.029 5.029 5.029
angles (deg): 90.00 90.00 90.00
Site moments in Bohr magnetons follow the coordinates.
Fractional coordinates of all 5 atoms:
Cd1 0.000 0.500 0.000  0.01
Cd2 0.000 0.000 0.500  0.01
Fe1 0.500 0.500 0.500  3.41
Ag1 0.000 0.000 0.000  0.02
Cd3 0.500 0.000 0.000  0.01

## Properties
- total moment (μB/atom) = 0.70
- crystal system = cubic
- total DFT energy (no corrections) (eV per formula unit) = -136.20

Computed, not measured: a PBEsol-optimized structure of ReSnPS2 at the SCAN level of DFT.

a b c (Å): 4.803 4.803 4.988
angles (deg): 90.00 90.00 90.00
Site moments in Bohr magnetons follow the coordinates.
Fractional coordinates of all 5 atoms:
Sn1 0.000 0.000 0.000  0.03
Re1 0.500 0.500 0.500  3.66
P1 0.000 0.000 0.500  -0.41
S1 0.500 0.000 0.000  -0.09
S2 0.000 0.500 0.000  -0.09

## Properties
- total moment (μB/atom) = 0.74
- formation energy without anion corrections (kJ/mol of atoms) = 159.1
- crystal system = tetragonal
- total DFT energy (no corrections) (eV per formula unit) = -128.43

Computed, not measured: a PBEsol-optimized structure of CoPb2Au at the SCAN level of DFT.

a b c (Å): 3.408 3.408 8.364
angles (deg): 78.25 78.25 60.00
Site moments in Bohr magnetons follow the coordinates.
Fractional coordinates of all 4 atoms:
Pb1 0.258 0.258 0.226  -0.03
Pb2 0.742 0.742 0.774  -0.03
Co1 0.000 0.000 0.000  1.59
Au1 0.500 0.500 0.500  -0.03

## Properties
- total moment (μB/atom) = 0.35
- energy relative to the lowest polymorph listed for this composition (meV per atom) = 40.8
- crystal system = trigonal
- total DFT energy (no corrections) (eV per formula unit) = -236.36

Computed, not measured: a PBEsol-optimized structure of BeSbSeN2 at the SCAN level of DFT.

a b c (Å): 3.802 3.802 4.634
angles (deg): 90.00 90.00 90.00
Site moments in Bohr magnetons follow the coordinates.
Fractional coordinates of all 5 atoms:
Be1 0.000 0.000 0.000  -0.05
Sb1 0.500 0.500 0.500  -0.16
Se1 0.000 0.000 0.500  0.22
N1 0.500 0.000 0.000  1.11
N2 0.000 0.500 0.000  1.11

## Properties
- total moment (μB/atom) = 0.60
- formation energy without anion corrections (kJ/mol of atoms) = 109.4
- crystal system = tetragonal
- total DFT energy (no corrections) (eV per formula unit) = -74.60

Computed, not measured: a PBEsol-optimized structure of SbPb2Cl at the SCAN level of DFT.

a b c (Å): 5.318 5.318 5.318
angles (deg): 60.00 60.00 60.00
Fractional coordinates of all 4 atoms:
Sb1 0.500 0.500 0.500
Pb1 0.250 0.250 0.250
Pb2 0.750 0.750 0.750
Cl1 0.000 0.000 0.000

## Properties
- total moment (μB/atom) = 0.00
- energy relative to the lowest polymorph listed for this composition (meV per atom) = 77.8
- formation energy without anion corrections (kJ/mol of atoms) = -35.7
- crystal system = cubic
- total DFT energy (no corrections) (eV per formula unit) = -198.28

Computed, not measured: a PBEsol-optimized structure of Zn2IrRu at the SCAN level of DFT.

a b c (Å): 2.946 4.248 4.248
angles (deg): 90.00 90.00 90.00
Site moments in Bohr magnetons follow the coordinates.
Fractional coordinates of all 4 atoms:
Zn1 0.000 0.500 0.000  0.00
Ru1 0.500 0.500 0.500  0.99
Zn2 0.000 0.000 0.500  0.00
Ir1 0.500 0.000 0.000  0.23

## Properties
- total moment (μB/atom) = 0.30
- energy relative to the lowest polymorph listed for this composition (meV per atom) = 37.7
- crystal system = tetragonal
- total DFT energy (no corrections) (eV per formula unit) = -132.91

Computed, not measured: a PBEsol-optimized structure of CdTc2Ir at the SCAN level of DFT.

a b c (Å): 2.719 4.943 4.943
angles (deg): 115.63 90.00 90.00
Fractional coordinates of all 4 atoms:
Ir1 0.500 0.000 0.000
Tc1 0.000 0.000 0.500
Cd1 0.500 0.500 0.500
Tc2 0.000 0.500 0.000

## Properties
- total moment (μB/atom) = 0.00
- crystal system = orthorhombic
- total DFT energy (no corrections) (eV per formula unit) = -170.22

Computed, not measured: a PBEsol-optimized structure of AlSi2W at the SCAN level of DFT.

a b c (Å): 4.314 4.314 4.314
angles (deg): 60.00 60.00 60.00
Fractional coordinates of all 4 atoms:
W1 0.250 0.250 0.250
Si1 0.750 0.750 0.750
Al1 0.500 0.500 0.500
Si2 0.000 0.000 0.000

## Properties
- total moment (μB/atom) = 0.00
- formation energy without anion corrections (kJ/mol of atoms) = 53.6
- crystal system = cubic
- total DFT energy (no corrections) (eV per formula unit) = -95.25

Computed, not measured: a PBEsol-optimized structure of Li2LaSc at the SCAN level of DFT.

a b c (Å): 3.272 4.778 6.592
angles (deg): 90.00 105.54 90.00
Site moments in Bohr magnetons follow the coordinates.
Fractional coordinates of all 4 atoms:
La1 0.213 0.500 0.754  0.05
Li1 0.862 0.500 0.254  0.01
Li2 0.879 0.000 0.015  0.00
Sc1 0.546 0.000 0.478  0.27

## Properties
- total moment (μB/atom) = 0.15
- energy relative to the lowest polymorph listed for this composition (meV per atom) = 89.9
- crystal system = monoclinic
- total DFT energy (no corrections) (eV per formula unit) = -61.38

Computed, not measured: a PBEsol-optimized structure of HoTaO4 at the SCAN level of DFT.

a b c (Å): 5.031 5.275 6.433
angles (deg): 111.76 110.48 95.77
Fractional coordinates of all 12 atoms:
O1 0.713 0.053 0.423
Ta1 0.149 0.899 0.798
O2 0.444 0.726 0.939
O3 0.005 0.786 0.061
O4 0.995 0.214 0.939
O5 0.789 0.630 0.577
O6 0.211 0.370 0.423
O7 0.287 0.947 0.577
Ho1 0.618 0.368 0.736
Ho2 0.382 0.632 0.264
O8 0.556 0.274 0.061
Ta2 0.851 0.101 0.202

## Properties
- total moment (μB/atom) = 0.00
- formation energy without anion corrections (kJ/mol of atoms) = -344.3
- crystal system = monoclinic
- total DFT energy (no corrections) (eV per formula unit) = -161.91

Computed, not measured: a PBEsol-optimized structure of SrRe2Au at the SCAN level of DFT.

a b c (Å): 2.729 2.729 9.556
angles (deg): 90.00 90.00 90.07
Fractional coordinates of all 4 atoms:
Re1 0.000 0.000 0.779
Au1 0.500 0.500 0.000
Sr1 0.500 0.500 0.500
Re2 0.000 0.000 0.221

## Properties
- total moment (μB/atom) = 0.00
- energy relative to the lowest polymorph listed for this composition (meV per atom) = 189.6
- crystal system = tetragonal
- total DFT energy (no corrections) (eV per formula unit) = -229.85

Computed, not measured: a PBEsol-optimized structure of Sc2SiSe at the SCAN level of DFT.

a b c (Å): 3.263 3.263 7.123
angles (deg): 90.00 90.00 101.91
Fractional coordinates of all 4 atoms:
Si1 0.500 0.500 0.000
Se1 0.500 0.500 0.500
Sc1 0.000 0.000 0.752
Sc2 0.000 0.000 0.248

## Properties
- total moment (μB/atom) = 0.00
- energy relative to the lowest polymorph listed for this composition (meV per atom) = 343.3
- formation energy without anion corrections (kJ/mol of atoms) = -91.4
- crystal system = orthorhombic
- total DFT energy (no corrections) (eV per formula unit) = -62.36

Computed, not measured: a PBEsol-optimized structure of TaAsPtBr2 at the SCAN level of DFT.

a b c (Å): 4.846 4.846 5.150
angles (deg): 90.00 90.00 90.00
Site moments in Bohr magnetons follow the coordinates.
Fractional coordinates of all 5 atoms:
Br1 0.500 0.000 0.000  0.02
Ta1 0.000 0.000 0.000  -0.01
Br2 0.000 0.500 0.000  0.02
Pt1 0.500 0.500 0.500  0.58
As1 0.000 0.000 0.500  -0.01

## Properties
- total moment (μB/atom) = 0.12
- formation energy without anion corrections (kJ/mol of atoms) = 75.3
- crystal system = tetragonal
- total DFT energy (no corrections) (eV per formula unit) = -191.98